1.
# GGA-PBEsol ZrTlGa3, relaxed
data_ZrTlGa3
_cell_length_a 5.207
_cell_length_b 5.207
_cell_length_c 5.207
_cell_angle_alpha 90.00
_cell_angle_beta 90.00
_cell_angle_gamma 90.00
_symmetry_space_group_name_H-M 'P m -3 m'
_symmetry_Int_Tables_number 221
_symmetry_space_group_name_Hall '-P 4 2 3'
loop_
_atom_site_label
_atom_site_type_symbol
_atom_site_fract_x
_atom_site_fract_y
_atom_site_fract_z
Zr1 Zr 0.000 0.000 0.000
Tl1 Tl 0.500 0.500 0.500
Ga1 Ga 0.000 0.000 0.500
# **VASP energy**: -3.88 eV per atom
# **D(E_F)**: 4.4 states/eV per cell
# **E_form**: 0.47 eV per atom
# **Total magnetization**: 0.0 μB/cell

---

2.
# GGA-PBEsol TmGa3, relaxed
data_TmGa3
_cell_length_a 4.160
_cell_length_b 4.160
_cell_length_c 4.160
_cell_angle_alpha 90.00
_cell_angle_beta 90.00
_cell_angle_gamma 90.00
_symmetry_space_group_name_H-M 'P m -3 m'
_symmetry_Int_Tables_number 221
_symmetry_space_group_name_Hall '-P 4 2 3'
loop_
_atom_site_label
_atom_site_type_symbol
_atom_site_fract_x
_atom_site_fract_y
_atom_site_fract_z
Tm1 Tm 0.000 0.000 0.000
Ga1 Ga 0.000 0.500 0.500
# **VASP energy**: -4.29 eV per atom
# **D(E_F)**: 1.8 states/eV per cell
# **E_form**: -0.56 eV per atom
# **Total magnetization**: 0.0 μB/cell

---

3.
# GGA-PBEsol TmGa3, relaxed
data_TmGa3
_cell_length_a 6.0906
_cell_length_b 6.0906
_cell_length_c 4.4781
_cell_angle_alpha 90.00
_cell_angle_beta 90.00
_cell_angle_gamma 120.00
_symmetry_space_group_name_H-M 'P 63/m m c'
_symmetry_Int_Tables_number 194
_symmetry_space_group_name_Hall '-P 6c 2c'
loop_
_atom_site_label
_atom_site_type_symbol
_atom_site_fract_x
_atom_site_fract_y
_atom_site_fract_z
Tm1 Tm 0.3333 0.6667 0.2500
Ga1 Ga 0.1503 0.3007 0.7500
# **VASP energy**: -4.29 eV per atom
# **D(E_F)**: 1.9 states/eV per cell
# **E_form**: -0.56 eV per atom
# **Total magnetization**: 0.0 μB/cell